Na2LaAsW (meta-GGA SCAN, PBEsol geometry); mass density = 4.8 g cm⁻³; VASP energy = -27.120 eV per atom; formation enthalpy at 0 K = 1.163 eV/atom; total magnetic moment = 3.251 Bohr magnetons per cell
1.0
5.414 0.000 0.000
0.000 5.414 0.000
0.000 0.000 5.183
Na La As W
2 1 1 1
Cartesian
0.000 2.707 0.000
2.707 0.000 0.000
0.000 0.000 2.592
2.707 2.707 2.592
0.000 0.000 0.000